No. 1
# CuNi2Pt PBE relaxed
data_CuNi2Pt
_cell_length_a 8.583
_cell_length_b 2.666
_cell_length_c 4.455
_cell_angle_alpha 90.00
_cell_angle_beta 101.33
_cell_angle_gamma 90.00
_symmetry_space_group_name_H-M 'C 1 m 1'
_symmetry_Int_Tables_number 8
loop_
_symmetry_equiv_pos_as_xyz
'x,y,z'
'x,-y,z'
'x+1/2,y+1/2,z'
'x+1/2,-y+1/2,z'
loop_
_atom_site_label
_atom_site_type_symbol
_atom_site_fract_x
_atom_site_fract_y
_atom_site_fract_z
_atom_site_occupancy
Cu1 Cu 0.000 0.000 0.000 1
Ni1 Ni 0.006 0.500 0.518 1
Ni2 Ni 0.250 0.000 0.762 1
Pt1 Pt 0.255 0.500 0.268 1
# - Energy relative to the elements: -0.05 eV/atom
# - Spin magnetization: 1.31 μB/f.u.


No. 2
# CuNiPt2 PBE relaxed
data_CuNiPt2
_cell_length_a 2.7285
_cell_length_b 2.7285
_cell_length_c 25.6978
_cell_angle_alpha 90.00
_cell_angle_beta 90.00
_cell_angle_gamma 120.00
_symmetry_space_group_name_H-M 'R -3 m'
_symmetry_Int_Tables_number 166
_symmetry_space_group_name_Hall '-R 3 2"'
loop_
_atom_site_label
_atom_site_type_symbol
_atom_site_fract_x
_atom_site_fract_y
_atom_site_fract_z
_atom_site_occupancy
Cu1 Cu 0.0000 0.0000 0.0000 1
Ni1 Ni 0.0000 0.0000 0.5000 1
Pt1 Pt 0.0000 0.0000 0.2490 1
# - Energy relative to the elements: -0.14 eV/atom
# - Spin magnetization: 1.10 μB/f.u.


No. 3
# CuNiPt2 PBE relaxed
data_CuNiPt2
_cell_length_a 2.7254
_cell_length_b 2.7254
_cell_length_c 25.8036
_cell_angle_alpha 90.00
_cell_angle_beta 90.00
_cell_angle_gamma 120.00
_symmetry_space_group_name_H-M 'R 3 m'
_symmetry_Int_Tables_number 160
_symmetry_space_group_name_Hall 'R 3 -2"'
loop_
_atom_site_label
_atom_site_type_symbol
_atom_site_fract_x
_atom_site_fract_y
_atom_site_fract_z
_atom_site_occupancy
Cu1 Cu 0.0000 0.0000 0.0000 1
Ni1 Ni 0.0000 0.0000 0.2577 1
Pt1 Pt 0.0000 0.0000 0.5103 1
Pt2 Pt 0.0000 0.0000 0.7498 1
# - Energy relative to the elements: -0.06 eV/atom
# - Spin magnetization: 1.02 μB/f.u.


No. 4
# CuNi2Pt PBE relaxed
data_CuNi2Pt
_cell_length_a 3.690
_cell_length_b 3.690
_cell_length_c 7.308
_cell_angle_alpha 90.00
_cell_angle_beta 90.00
_cell_angle_gamma 90.00
_symmetry_space_group_name_H-M 'I 4/m m m'
_symmetry_Int_Tables_number 139
_symmetry_space_group_name_Hall '-I 4 2'
loop_
_atom_site_label
_atom_site_type_symbol
_atom_site_fract_x
_atom_site_fract_y
_atom_site_fract_z
_atom_site_occupancy
Cu1 Cu 0.000 0.000 0.000 1
Ni1 Ni 0.000 0.500 0.250 1
Pt1 Pt 0.000 0.000 0.500 1
# - Energy relative to the elements: -0.07 eV/atom
# - Spin magnetization: 1.42 μB/f.u.